# La4AlOs, optimized geometry, DFT PBE
data_La4AlOs
_cell_length_a 6.190
_cell_length_b 6.190
_cell_length_c 6.190
_cell_angle_alpha 60.00
_cell_angle_beta 60.00
_cell_angle_gamma 60.00
_space_group_name_H-M_alt 'P 1'
_space_group_IT_number 1
_space_group_name_Hall 'P 1'
loop_
_atom_site_label
_atom_site_type_symbol
_atom_site_fract_x
_atom_site_fract_y
_atom_site_fract_z
Os1 Os 0.750 0.750 0.750
La1 La 0.376 0.376 0.872
La2 La 0.376 0.376 0.376
La3 La 0.376 0.872 0.376
La4 La 0.872 0.376 0.376
Al1 Al 0.000 0.000 0.000
# density of states at the Fermi level	10.61	states/eV/cell
# calculated total energy	-4.976	eV per atom
# energy relative to the lowest polymorph listed for this composition	1013.2	meV per atom
# SG	No. 216
# magnetic moment	0.01	μB per formula unit
# formation enthalpy at 0 K	18.55	kcal/mol of atoms



# ScRh2Cl, optimized geometry, DFT PBE
data_ScRh2Cl
_cell_length_a 3.794
_cell_length_b 3.794
_cell_length_c 9.867
_cell_angle_alpha 78.92
_cell_angle_beta 78.92
_cell_angle_gamma 90.00
_space_group_name_H-M_alt 'P 1'
_space_group_IT_number 1
_space_group_name_Hall 'P 1'
loop_
_atom_site_label
_atom_site_type_symbol
_atom_site_fract_x
_atom_site_fract_y
_atom_site_fract_z
Sc1 Sc 0.750 0.250 0.500
Sc2 Sc 0.000 0.000 0.000
Rh1 Rh 0.639 0.125 0.250
Rh2 Rh 0.875 0.889 0.750
Rh3 Rh 0.375 0.361 0.750
Rh4 Rh 0.111 0.625 0.250
Cl1 Cl 0.250 0.750 0.500
Cl2 Cl 0.500 0.500 0.000
# density of states at the Fermi level	8.45	states/eV/cell
# uncorrected formation energy	-0.240	eV per atom
# calculated total energy	-5.960	eV per atom
# energy relative to the lowest polymorph listed for this composition	263.1	meV per atom
# SG	No. 122
# magnetic moment	0.00	μB per formula unit



# Pr2ZrSi4Pt3, optimized geometry, DFT PBE
data_Pr2ZrSi4Pt3
_cell_length_a 4.265
_cell_length_b 4.265
_cell_length_c 10.552
_cell_angle_alpha 90.00
_cell_angle_beta 90.00
_cell_angle_gamma 90.00
_space_group_name_H-M_alt 'P 1'
_space_group_IT_number 1
_space_group_name_Hall 'P 1'
loop_
_atom_site_label
_atom_site_type_symbol
_atom_site_fract_x
_atom_site_fract_y
_atom_site_fract_z
Pt1 Pt 0.000 0.500 0.113
Pt2 Pt 0.500 0.000 0.887
Pt3 Pt 0.000 0.000 0.500
Si1 Si 0.500 0.000 0.653
Si2 Si 0.000 0.500 0.347
Si3 Si 0.000 0.000 0.000
Si4 Si 0.500 0.500 0.000
Pr1 Pr 0.000 0.500 0.765
Pr2 Pr 0.500 0.000 0.235
Zr1 Zr 0.500 0.500 0.500
# density of states at the Fermi level	4.51	states/eV/cell
# uncorrected formation energy	-1.029	eV per atom
# calculated total energy	-6.821	eV per atom
# SG	No. 115
# magnetic moment	0.00	μB per formula unit



# NbRhF2, optimized geometry, DFT PBE
data_NbRhF2
_cell_length_a 4.151
_cell_length_b 4.151
_cell_length_c 4.151
_cell_angle_alpha 60.00
_cell_angle_beta 60.00
_cell_angle_gamma 60.00
_space_group_name_H-M_alt 'P 1'
_space_group_IT_number 1
_space_group_name_Hall 'P 1'
loop_
_atom_site_label
_atom_site_type_symbol
_atom_site_fract_x
_atom_site_fract_y
_atom_site_fract_z
F1 F 0.750 0.750 0.750
F2 F 0.250 0.250 0.250
Nb1 Nb 0.000 0.000 0.000
Rh1 Rh 0.500 0.500 0.500
# density of states at the Fermi level	1.71	states/eV/cell
# uncorrected formation energy	-0.423	eV per atom
# calculated total energy	-5.714	eV per atom
# energy relative to the lowest polymorph listed for this composition	721.5	meV per atom
# SG	No. 225
# magnetic moment	0.00	μB per formula unit



# CoAu2, optimized geometry, DFT PBE
data_CoAu2
_cell_length_a 5.170
_cell_length_b 5.170
_cell_length_c 7.079
_cell_angle_alpha 73.31
_cell_angle_beta 73.31
_cell_angle_gamma 32.62
_space_group_name_H-M_alt 'P 1'
_space_group_IT_number 1
_space_group_name_Hall 'P 1'
loop_
_atom_site_label
_atom_site_type_symbol
_atom_site_fract_x
_atom_site_fract_y
_atom_site_fract_z
Au1 Au 0.975 0.975 0.018
Au2 Au 0.642 0.642 0.676
Au3 Au 0.654 0.654 0.223
Au4 Au 0.353 0.353 0.380
Co1 Co 0.286 0.286 0.885
Co2 Co 0.923 0.923 0.651
# density of states at the Fermi level	5.64	states/eV/cell
# calculated total energy	-4.338	eV per atom
# SG	No. 8
# magnetic moment	1.79	μB per formula unit
# formation enthalpy at 0 K	4.97	kcal/mol of atoms



# CuPbW2, optimized geometry, DFT PBE
data_CuPbW2
_cell_length_a 2.865
_cell_length_b 4.078
_cell_length_c 6.156
_cell_angle_alpha 90.00
_cell_angle_beta 90.00
_cell_angle_gamma 90.00
_space_group_name_H-M_alt 'P 1'
_space_group_IT_number 1
_space_group_name_Hall 'P 1'
loop_
_atom_site_label
_atom_site_type_symbol
_atom_site_fract_x
_atom_site_fract_y
_atom_site_fract_z
W1 W 0.000 0.000 0.448
W2 W 0.000 0.000 0.052
Cu1 Cu 0.500 0.500 0.250
Pb1 Pb 0.500 0.500 0.750
# density of states at the Fermi level	3.24	states/eV/cell
# calculated total energy	-7.524	eV per atom
# SG	No. 47
# magnetic moment	0.00	μB per formula unit
# formation enthalpy at 0 K	20.85	kcal/mol of atoms



# Mn21Os2N6, optimized geometry, DFT PBE
data_Mn21Os2N6
_cell_length_a 7.362
_cell_length_b 7.362
_cell_length_c 7.362
_cell_angle_alpha 60.00
_cell_angle_beta 60.00
_cell_angle_gamma 60.00
_space_group_name_H-M_alt 'P 1'
_space_group_IT_number 1
_space_group_name_Hall 'P 1'
loop_
_atom_site_label
_atom_site_type_symbol
_atom_site_fract_x
_atom_site_fract_y
_atom_site_fract_z
Mn1 Mn 0.000 0.000 0.668
Mn2 Mn 0.668 0.000 0.332
Mn3 Mn 0.000 0.000 0.332
Mn4 Mn 0.384 0.384 0.384
Mn5 Mn 0.616 0.616 0.616
Mn6 Mn 0.668 0.332 0.000
Mn7 Mn 0.000 0.668 0.000
Mn8 Mn 0.668 0.000 0.000
Mn9 Mn 0.151 0.616 0.616
Mn10 Mn 0.000 0.332 0.000
Mn11 Mn 0.332 0.000 0.668
Mn12 Mn 0.616 0.616 0.151
Mn13 Mn 0.849 0.384 0.384
Mn14 Mn 0.332 0.000 0.000
Mn15 Mn 0.384 0.849 0.384
Mn16 Mn 0.000 0.000 0.000
Mn17 Mn 0.332 0.668 0.000
Mn18 Mn 0.000 0.668 0.332
Mn19 Mn 0.000 0.332 0.668
Mn20 Mn 0.616 0.151 0.616
Mn21 Mn 0.384 0.384 0.849
N1 N 0.277 0.277 0.723
N2 N 0.723 0.723 0.277
N3 N 0.277 0.723 0.277
N4 N 0.277 0.723 0.723
N5 N 0.723 0.277 0.723
N6 N 0.723 0.277 0.277
Os1 Os 0.750 0.750 0.750
Os2 Os 0.250 0.250 0.250
# density of states at the Fermi level	33.96	states/eV/cell
# uncorrected formation energy	-0.026	eV per atom
# calculated total energy	-9.163	eV per atom
# SG	No. 225
# magnetic moment	11.59	μB per formula unit



# Al2NiOs, optimized geometry, DFT PBE
data_Al2NiOs
_cell_length_a 4.131
_cell_length_b 4.132
_cell_length_c 3.046
_cell_angle_alpha 90.00
_cell_angle_beta 90.00
_cell_angle_gamma 90.00
_space_group_name_H-M_alt 'P 1'
_space_group_IT_number 1
_space_group_name_Hall 'P 1'
loop_
_atom_site_label
_atom_site_type_symbol
_atom_site_fract_x
_atom_site_fract_y
_atom_site_fract_z
Os1 Os 0.000 0.500 0.500
Ni1 Ni 0.500 0.000 0.500
Al1 Al 0.000 0.000 0.000
Al2 Al 0.500 0.500 0.000
# density of states at the Fermi level	1.25	states/eV/cell
# calculated total energy	-6.698	eV per atom
# SG	No. 123
# magnetic moment	0.00	μB per formula unit
# formation enthalpy at 0 K	-13.24	kcal/mol of atoms



What is the formula in the fourth record? NbRhF2



The highest density of states at the Fermi level belongs to which entry? Mn21Os2N6